No. 1
Below is RbTlW2Se after structural relaxation, with properties calculated at the GGA-PBE level.

a b c (Å): 5.2789 5.2789 5.8815
angles (deg): 90.00 90.00 90.00
Each line ends with the local moment (μB).
Sites, in units of the cell vectors:
Tl 0.5000 0.5000 0.5000  0.04
Rb 0.0000 0.0000 0.0000  0.09
W 0.5000 0.0000 0.0000  2.51
W 0.0000 0.5000 0.0000  2.51
Se 0.0000 0.0000 0.5000  0.03

Output
- Size of the total moment: 6.97 Bohr magnetons per cell
- Crystal system: tetragonal
- Uncorrected formation energy: 3167 meV/atom
- Fermi-level density of states: 1.257 states/eV/atom

---

No. 2
Below is ZrMoPt3 after structural relaxation, with properties calculated at the GGA-PBE level.

a b c (Å): 4.7898 4.7898 4.7898
angles (deg): 90.00 90.00 90.00
Sites, in units of the cell vectors:
Pt 0.0000 0.0000 0.5000
Pt 0.5000 0.0000 0.0000
Pt 0.0000 0.5000 0.0000
Zr 0.5000 0.5000 0.5000
Mo 0.0000 0.0000 0.0000

Output
- Excess energy over the best structure of this formula in the dataset: 0 meV/atom
- Size of the total moment: 0.00 Bohr magnetons per cell
- Crystal system: cubic
- Formation energy: 3.28 eV/f.u.
- Fermi-level density of states: 1.371 states/eV/atom

---

No. 3
Below is PaGaPd6 after structural relaxation, with properties calculated at the GGA-PBE level.

a b c (Å): 4.6990 5.7007 5.7007
angles (deg): 119.99 90.00 90.00
Sites, in units of the cell vectors:
Ga 0.0000 0.0833 0.9167
Pd 0.5000 0.4129 0.0815
Pd 0.0000 0.5855 0.9209
Pd 0.0000 0.5855 0.4145
Pd 0.5000 0.9185 0.5871
Pd 0.5000 0.9185 0.0815
Pd 0.0000 0.0791 0.4145
Pa 0.5000 0.4167 0.5833

Output
- Excess energy over the best structure of this formula in the dataset: 0 meV/atom
- Size of the total moment: 0.00 Bohr magnetons per cell
- Crystal system: hexagonal
- Formation energy: -4.93 eV/f.u.
- Fermi-level density of states: 0.322 states/eV/atom

---

No. 4
Below is Pu2TlPd after structural relaxation, with properties calculated at the GGA-PBE level.

a b c (Å): 3.9029 3.9029 6.3647
angles (deg): 90.00 90.00 90.00
Each line ends with the local moment (μB).
Sites, in units of the cell vectors:
Pu 0.0000 0.0000 0.2286  5.50
Pu 0.0000 0.0000 0.7714  5.50
Tl 0.5000 0.5000 0.5000  0.01
Pd 0.5000 0.5000 0.0000  -0.03

Output
- Excess energy over the best structure of this formula in the dataset: 0 meV/atom
- Size of the total moment: 11.55 Bohr magnetons per cell
- Crystal system: tetragonal
- Formation energy: -0.77 eV/f.u.
- Fermi-level density of states: 3.734 states/eV/atom

---

Number 1: total DFT energy (no corrections) -3.378 eV/atom. Number 2: total DFT energy (no corrections) -6.844 eV/atom. Number 3: total DFT energy (no corrections) -6.076 eV/atom. Number 4: total DFT energy (no corrections) -9.248 eV/atom.